(1)
Material: MnTePtN2
Method: DFT, GGA-PBE
State: optimized geometry

abc: 3.663 3.663 5.787
angles: 90.00 90.00 90.00
Space group P4/mmm (No. 123)
One atom of each set of equivalent atoms:
Mn 0.000 0.000 0.000 x1
Te 0.000 0.000 0.500 x1
Pt 0.500 0.500 0.500 x1
N 0.000 0.500 0.000 x2

***

(2)
Material: MnTePtN2
Method: DFT, GGA-PBE
State: optimized geometry

abc: 3.785 3.785 8.414
angles: 90.00 90.00 90.00
Space group P4/mmm (No. 123)
One atom of each set of equivalent atoms:
Mn 0.000 0.000 0.000 x1
Te 0.500 0.500 0.000 x1
Pt 0.500 0.500 0.500 x1
N 0.000 0.500 0.500 x2

***

According to the calculations, the structures order from most to least stable as (1), (2).

***

(1)
Material: PuMnN
Method: DFT, GGA-PBE
State: optimized geometry

abc: 3.854 3.854 6.069
angles: 90.00 90.00 90.00
Space group I4mm (No. 107)
One atom of each set of equivalent atoms:
Pu 0.000 0.000 0.000 x2
Mn 0.000 0.000 0.348 x2
N 0.000 0.000 0.653 x2

***

(2)
Material: PuMnN
Method: DFT, GGA-PBE
State: optimized geometry

abc: 3.6236 3.6236 3.4880
angles: 90.00 90.00 120.00
Space group P3m1 (No. 156)
One atom of each set of equivalent atoms:
Pu 0.0000 0.0000 0.0000 x1
Mn 0.3333 0.6667 0.5064 x1
N 0.6667 0.3333 0.4566 x1

***

According to the calculations, the structures order from most to least stable as (2), (1).

***

(1)
Material: RbMn3N
Method: DFT, GGA-PBE
State: optimized geometry

abc: 5.046 5.046 5.046
angles: 90.00 90.00 90.00
Space group Pm-3m (No. 221)
One atom of each set of equivalent atoms:
Rb 0.000 0.000 0.000 x1
Mn 0.000 0.000 0.500 x3
N 0.500 0.500 0.500 x1

***

(2)
Material: RbMn3N
Method: DFT, GGA-PBE
State: optimized geometry

abc: 4.347 4.347 4.347
angles: 90.00 90.00 90.00
Space group Pm-3m (No. 221)
One atom of each set of equivalent atoms:
Rb 0.000 0.000 0.000 x1
Mn 0.000 0.500 0.500 x3
N 0.500 0.500 0.500 x1

***

According to the calculations, the structures order from most to least stable as (2), (1).

***

(1)
Material: RbMnN
Method: DFT, GGA-PBE
State: optimized geometry

abc: 10.734 3.616 6.882
angles: 90.00 90.00 90.00
Space group Pnma (No. 62)
One atom of each set of equivalent atoms:
Rb 0.172 0.250 0.057 x4
Mn 0.031 0.250 0.599 x4
N 0.047 0.750 0.649 x4

***

(2)
Material: RbMnN
Method: DFT, GGA-PBE
State: optimized geometry

abc: 3.509 3.509 10.424
angles: 90.00 90.00 90.00
Space group P4/nmm (No. 129, origin choice 2)
One atom of each set of equivalent atoms:
Rb 0.250 0.250 0.216 x2
Mn 0.250 0.750 0.500 x2
N 0.250 0.250 0.582 x2

***

According to the calculations, the structures order from most to least stable as (2), (1).

***

(1)
Material: RbMnN2
Method: DFT, GGA-PBE
State: optimized geometry

abc: 3.3490 3.3490 22.7376
angles: 90.00 90.00 120.00
Space group R-3m (No. 166, hexagonal axes)
One atom of each set of equivalent atoms:
Rb 0.0000 0.0000 0.0000 x3
Mn 0.0000 0.0000 0.5000 x3
N 0.0000 0.0000 0.4260 x6

***

(2)
Material: RbMnN2
Method: DFT, GGA-PBE
State: optimized geometry

abc: 3.1145 3.1145 20.9195
angles: 90.00 90.00 120.00
Space group R-3m (No. 166, hexagonal axes)
One atom of each set of equivalent atoms:
Rb 0.0000 0.0000 0.0000 x3
Mn 0.0000 0.0000 0.5000 x3
N 0.0000 0.0000 0.1225 x6

***

According to the calculations, the structures order from most to least stable as (2), (1).

***

(1)
Material: RbMnSeN2
Method: DFT, GGA-PBE
State: optimized geometry

abc: 3.938 3.938 5.082
angles: 90.00 90.00 90.00
Space group P4/mmm (No. 123)
One atom of each set of equivalent atoms:
Rb 0.000 0.000 0.000 x1
Mn 0.500 0.500 0.500 x1
Se 0.500 0.500 0.000 x1
N 0.000 0.500 0.500 x2

***

(2)
Material: RbMnSeN2
Method: DFT, GGA-PBE
State: optimized geometry

abc: 4.440 4.440 6.740
angles: 90.00 90.00 90.00
Space group P4/mmm (No. 123)
One atom of each set of equivalent atoms:
Rb 0.000 0.000 0.000 x1
Mn 0.500 0.500 0.500 x1
Se 0.000 0.000 0.500 x1
N 0.000 0.500 0.000 x2

***

According to the calculations, the structures order from most to least stable as (1), (2).